VASP calculation (PBE-GGA) on crystalline Nd2Dy3P4 at its relaxed geometry.

Geometry as POSCAR:
```
Nd2Dy3P4
1.0
-0.5140 3.7184 1.4481
1.4155 -0.2801 6.8111
8.5365 3.0399 0.8133
P Dy Nd
4 3 2
direct
0.6016 0.6985 0.0982
0.2015 0.8937 0.7032
0.3984 0.3015 0.9018
0.7985 0.1063 0.2968
0.0000 0.0000 0.0000
0.7947 0.5985 0.8122
0.2053 0.4015 0.1878
0.3991 0.8068 0.3951
0.6009 0.1932 0.6049
```

Computed properties:
- Fermi-level density of states: 5.3 states/eV per cell
- Density: 6.43 g/cm³
- Volume: 232 Å³ per cell
- Formation energy from the elements: -1.407 eV per atom